First-principles (PBE-GGA) data for a relaxed structure of ZnCdSe2, as listed in the Alexandria database.

Geometry as POSCAR:
```
ZnCdSe2
1.0
-0.9926 -6.7456 0.5669
3.6265 -1.6960 0.3913
-1.9374 1.7381 3.0669
Zn Se Cd
1 2 1
Direct
0.5000 0.5000 0.5000 Zn
0.7322 0.7906 0.2094 Se
0.2678 0.2094 0.7906 Se
0.0000 0.0000 0.0000 Cd
```

Output
The total magnetization comes out at 0.0 μB per cell. The calculation puts the uncorrected formation energy at -0.4431 eV per atom. The calculation puts the density of states at the Fermi level at 0.00 states/eV/atom. The calculated total energy comes out at -10.9 eV per cell.

=====

First-principles (PBE-GGA) data for a relaxed structure of ZnCdSe4, as listed in the Alexandria database.

Geometry as POSCAR:
```
ZnCdSe4
1.0
0.0000 4.0926 4.0926
4.0926 0.0000 4.0926
4.0926 4.0926 0.0000
Zn Cd Se
1 1 4
Direct
0.7500 0.7500 0.7500 Zn
0.0000 0.0000 0.0000 Cd
0.8734 0.3755 0.3755 Se
0.3755 0.3755 0.8734 Se
0.3755 0.8734 0.3755 Se
0.3755 0.3755 0.3755 Se
```

Output
The total magnetization comes out at 0.0 μB per cell. The calculation puts the uncorrected formation energy at 0.4329 eV per atom. The calculation puts the density of states at the Fermi level at 0.46 states/eV/atom. The calculated total energy comes out at -13.5 eV per cell.

=====

First-principles (PBE-GGA) data for a relaxed structure of Zn2Cd2Se, as listed in the Alexandria database.

Geometry as POSCAR:
```
Zn2Cd2Se
1.0
7.3743 0.0000 0.0000
0.0000 7.3743 0.0000
0.0000 0.0000 4.0545
Zn Se Cd
4 2 4
Direct
0.1618 0.6618 0.5000 Zn
0.6618 0.8382 0.5000 Zn
0.8382 0.3382 0.5000 Zn
0.3382 0.1618 0.5000 Zn
0.0000 0.0000 0.0000 Se
0.5000 0.5000 0.0000 Se
0.3579 0.8579 0.0000 Cd
0.8579 0.6421 0.0000 Cd
0.6421 0.1421 0.0000 Cd
0.1421 0.3579 0.0000 Cd
```

Output
The total magnetization comes out at 0.0 μB per cell. The calculation puts the uncorrected formation energy at 0.1175 eV per atom. The calculation puts the density of states at the Fermi level at 0.40 states/eV/atom. The calculated total energy comes out at -14.6 eV per cell. Its energy above the most stable polymorph in this dataset is 73.5 meV per atom.

=====

First-principles (PBE-GGA) data for a relaxed structure of ZnCd2Se2, as listed in the Alexandria database.

Geometry as POSCAR:
```
ZnCd2Se2
1.0
7.7346 0.0000 0.0000
0.0000 7.7346 0.0000
0.0000 0.0000 4.2108
Zn Se Cd
2 4 4
Direct
0.0000 0.0000 0.0000 Zn
0.5000 0.5000 0.0000 Zn
0.2787 0.7787 0.0000 Se
0.7787 0.7213 0.0000 Se
0.7213 0.2213 0.0000 Se
0.2213 0.2787 0.0000 Se
0.1233 0.6233 0.5000 Cd
0.6233 0.8767 0.5000 Cd
0.8767 0.3767 0.5000 Cd
0.3767 0.1233 0.5000 Cd
```

Output
The total magnetization comes out at 0.0 μB per cell. The calculation puts the uncorrected formation energy at -0.1352 eV per atom. The calculation puts the density of states at the Fermi level at 0.37 states/eV/atom. The calculated total energy comes out at -21.5 eV per cell. Its energy above the most stable polymorph in this dataset is 36.4 meV per atom.

=====

Repeat the fourth record exactly.
First-principles (PBE-GGA) data for a relaxed structure of ZnCd2Se2, as listed in the Alexandria database.

Geometry as POSCAR:
```
ZnCd2Se2
1.0
7.7346 0.0000 0.0000
0.0000 7.7346 0.0000
0.0000 0.0000 4.2108
Zn Se Cd
2 4 4
Direct
0.0000 0.0000 0.0000 Zn
0.5000 0.5000 0.0000 Zn
0.2787 0.7787 0.0000 Se
0.7787 0.7213 0.0000 Se
0.7213 0.2213 0.0000 Se
0.2213 0.2787 0.0000 Se
0.1233 0.6233 0.5000 Cd
0.6233 0.8767 0.5000 Cd
0.8767 0.3767 0.5000 Cd
0.3767 0.1233 0.5000 Cd
```

Output
The total magnetization comes out at 0.0 μB per cell. The calculation puts the uncorrected formation energy at -0.1352 eV per atom. The calculation puts the density of states at the Fermi level at 0.37 states/eV/atom. The calculated total energy comes out at -21.5 eV per cell. Its energy above the most stable polymorph in this dataset is 36.4 meV per atom.